--- P ---
The following is a DFT calculation (GGA-PBE) of a relaxed Sb2S2Cl crystal. Values from VASP.

**Size of the total moment**: 0.00 μB/cell
**Crystal system**: tetragonal
**Density**: 4.4 g/cm3
**Density of states at the Fermi level**: 1.05 states/eV per cell

Cell and atoms, written as Quantum ESPRESSO input:
```
&SYSTEM
  ibrav = 0, nat = 5, ntyp = 3
/
ATOMIC_SPECIES
Sb 121.76 Sb.upf
S 32.06 S.upf
Cl 35.45 Cl.upf
CELL_PARAMETERS angstrom
-2.399 2.399 5.687
2.399 -2.399 5.687
2.399 2.399 -5.687
ATOMIC_POSITIONS angstrom
Sb 0.000 0.000 1.689
Sb 0.000 0.000 9.685
S 2.399 0.000 2.843
S 0.000 2.399 2.843
Cl 0.000 0.000 5.687
```



--- Q ---
The following is a DFT calculation (GGA-PBE) of a relaxed Sb2S2Cl crystal. Values from VASP.

**Size of the total moment**: 0.00 μB/cell
**Crystal system**: trigonal
**Density**: 3.8 g/cm3
**Density of states at the Fermi level**: 2.18 states/eV per cell

Cell and atoms, written as Quantum ESPRESSO input:
```
&SYSTEM
  ibrav = 0, nat = 5, ntyp = 3
/
ATOMIC_SPECIES
Sb 121.76 Sb.upf
S 32.06 S.upf
Cl 35.45 Cl.upf
CELL_PARAMETERS angstrom
2.045 1.181 10.357
-2.045 1.181 10.357
0.000 -2.362 10.357
ATOMIC_POSITIONS angstrom
Sb 0.000 0.000 3.111
Sb 0.000 0.000 27.959
S 0.000 0.000 8.461
S 0.000 0.000 22.609
Cl 0.000 0.000 15.535
```



Which of them is the most stable? Correct choice: P.



--- P ---
The following is a DFT calculation (GGA-PBE) of a relaxed SbSCl9 crystal. Values from VASP.

**Size of the total moment**: 0.00 μB/cell
**Crystal system**: monoclinic
**Density**: 2.1 g/cm3
**Density of states at the Fermi level**: 0.00 states/eV per cell

Cell and atoms, written as Quantum ESPRESSO input:
```
&SYSTEM
  ibrav = 0, nat = 22, ntyp = 3
/
ATOMIC_SPECIES
Sb 121.76 Sb.upf
S 32.06 S.upf
Cl 35.45 Cl.upf
CELL_PARAMETERS angstrom
6.951 -4.007 0.000
6.951 4.007 0.000
-4.259 0.000 13.441
ATOMIC_POSITIONS angstrom
Sb 0.000 0.000 0.000
Sb 4.821 0.000 6.721
S -0.658 0.000 9.749
S 10.301 0.000 3.692
Cl -0.640 0.000 2.332
Cl -0.098 1.569 10.875
Cl 2.351 0.000 0.683
Cl 0.675 0.000 8.239
Cl 4.198 1.708 8.309
Cl 5.444 1.708 5.132
Cl 6.951 1.625 0.000
Cl 2.557 0.000 5.851
Cl -0.098 -1.569 10.875
Cl 9.740 1.569 2.567
Cl 7.086 0.000 7.591
Cl 6.951 -1.625 0.000
Cl 4.198 -1.708 8.309
Cl 5.444 -1.708 5.132
Cl 8.967 0.000 5.202
Cl 7.291 0.000 12.758
Cl 9.740 -1.569 2.567
Cl 10.282 0.000 11.109
```



--- Q ---
The following is a DFT calculation (GGA-PBE) of a relaxed SbSCl9 crystal. Values from VASP.

**Size of the total moment**: 0.00 μB/cell
**Crystal system**: trigonal
**Density**: 2.2 g/cm3

Cell and atoms, written as Quantum ESPRESSO input:
```
&SYSTEM
  ibrav = 0, nat = 22, ntyp = 3
/
ATOMIC_SPECIES
Sb 121.76 Sb.upf
S 32.06 S.upf
Cl 35.45 Cl.upf
CELL_PARAMETERS angstrom
5.654 3.264 6.368
-5.654 3.264 6.368
0.000 -6.528 6.368
ATOMIC_POSITIONS angstrom
Sb 0.000 0.000 0.000
Sb 0.000 0.000 9.552
S 0.000 0.000 3.875
S 0.000 0.000 15.229
Cl -3.944 -2.277 11.340
Cl 0.000 -1.809 4.740
Cl -1.566 0.904 4.740
Cl 0.000 -4.554 7.765
Cl -3.944 2.277 7.765
Cl -1.708 -0.986 8.158
Cl 1.566 0.904 4.740
Cl 0.000 -1.973 10.947
Cl -1.708 0.986 10.947
Cl 1.708 -0.986 8.158
Cl 0.000 1.973 8.158
Cl -1.566 -0.904 14.364
Cl 1.708 0.986 10.947
Cl 3.944 -2.277 11.340
Cl 0.000 4.554 11.340
Cl 1.566 -0.904 14.364
Cl 0.000 1.809 14.364
Cl 3.944 2.277 7.765
```



Which of them is the most stable? Correct choice: P.